Below is a geometry-optimized Be3CuOs structure, with properties calculated at the PBE level.

Properties
* total energy: -4.45 eV/atom
* D(E_F): 4.33 states/eV/cell
* ΔE to the lowest computed polymorph: 0.0 kJ per mole of atoms
* formation energy from the elements: 0.847 eV/atom

Lattice parameters (Å, degrees): 3.8473 3.8473 3.8473 90.00 90.00 90.00
With the nearest neighbours (Å) after each atom.
Space group Pm-3m (No. 221)
Asymmetric unit:
Be: 0.0000 0.0000 0.5000 x3  2 Cu 1.92
Cu: 0.0000 0.0000 0.0000 x1  6 Be 1.92
Os: 0.5000 0.5000 0.5000 x1  12 Be 2.72